Record 1
# TaBeSi2 | Alexandria via LeMat-Bulk | PBE | optimized geometry
data_TaBeSi2
_chemical_formula_sum 'Ta3 Be3 Si6'
_space_group_name_H-M_alt 'R -3 m'
_space_group_IT_number 166
_space_group_name_Hall '-R 3 2"'
_cell_length_a 2.9059
_cell_length_b 2.9059
_cell_length_c 23.3436
_cell_angle_alpha 90.00
_cell_angle_beta 90.00
_cell_angle_gamma 120.00
loop_
_atom_site_label
_atom_site_type_symbol
_atom_site_fract_x
_atom_site_fract_y
_atom_site_fract_z
_atom_site_occupancy
Ta1 Ta 0.0000 0.0000 0.0000 1
Be1 Be 0.0000 0.0000 0.5000 1
Si1 Si 0.0000 0.0000 0.2416 1
# - Calculated density: 7.2 Mg/m³
# - Formation energy from raw total energies: 0.124 eV per atom

Record 2
# Ta2Be16Si | Alexandria via LeMat-Bulk | PBE | optimized geometry
data_Ta2Be16Si
_chemical_formula_sum 'Ta6 Be48 Si3'
_space_group_name_H-M_alt 'R 3 m'
_space_group_IT_number 160
_space_group_name_Hall 'R 3 -2"'
_cell_length_a 7.4605
_cell_length_b 7.4605
_cell_length_c 10.7422
_cell_angle_alpha 90.00
_cell_angle_beta 90.00
_cell_angle_gamma 120.00
loop_
_atom_site_label
_atom_site_type_symbol
_atom_site_fract_x
_atom_site_fract_y
_atom_site_fract_z
_atom_site_occupancy
Ta1 Ta 0.0000 0.0000 0.0000 1
Ta2 Ta 0.0000 0.0000 0.3120 1
Be1 Be 0.0000 0.0000 0.7618 1
Be2 Be 0.0008 0.3030 0.6570 1
Be3 Be 0.0098 0.5049 0.8129 1
Be4 Be 0.1688 0.3377 0.8333 1
Be5 Be 0.1699 0.3399 0.4902 1
Si1 Si 0.0000 0.0000 0.5573 1
# - Calculated density: 5.1 Mg/m³
# - Formation energy from raw total energies: -0.153 eV per atom

Record 3
# TaBeSi2 | Alexandria via LeMat-Bulk | PBE | optimized geometry
data_TaBeSi2
_chemical_formula_sum 'Ta1 Be1 Si2'
_space_group_name_H-M_alt 'P 4/m m m'
_space_group_IT_number 123
_space_group_name_Hall '-P 4 2'
_cell_length_a 3.268
_cell_length_b 3.268
_cell_length_c 5.147
_cell_angle_alpha 90.00
_cell_angle_beta 90.00
_cell_angle_gamma 90.00
loop_
_atom_site_label
_atom_site_type_symbol
_atom_site_fract_x
_atom_site_fract_y
_atom_site_fract_z
_atom_site_occupancy
Ta1 Ta 0.000 0.000 0.000 1
Be1 Be 0.000 0.000 0.500 1
Si1 Si 0.500 0.500 0.268 1
# - Calculated density: 7.4 Mg/m³
# - Formation energy from raw total energies: -0.078 eV per atom

Record 4
# Ta3BeSi2 | Alexandria via LeMat-Bulk | PBE | optimized geometry
data_Ta3BeSi2
_chemical_formula_sum 'Ta12 Be4 Si8'
_space_group_name_H-M_alt 'P n m a'
_space_group_IT_number 62
_cell_length_a 10.119
_cell_length_b 3.575
_cell_length_c 9.702
_cell_angle_alpha 90.00
_cell_angle_beta 90.00
_cell_angle_gamma 90.00
loop_
_space_group_symop_operation_xyz
'x,y,z'
'-x,-y,-z'
'-x+1/2,-y,z+1/2'
'x+1/2,y,-z+1/2'
'x+1/2,-y+1/2,-z+1/2'
'-x+1/2,y+1/2,z+1/2'
'-x,y+1/2,-z'
'x,-y+1/2,z'
loop_
_atom_site_label
_atom_site_type_symbol
_atom_site_fract_x
_atom_site_fract_y
_atom_site_fract_z
_atom_site_occupancy
Ta1 Ta 0.046 0.250 0.121 1
Ta2 Ta 0.119 0.750 0.566 1
Ta3 Ta 0.212 0.250 0.792 1
Be1 Be 0.128 0.250 0.376 1
Si1 Si 0.026 0.750 0.313 1
Si2 Si 0.194 0.750 0.003 1
# - Calculated density: 11.5 Mg/m³
# - Formation energy from raw total energies: -0.491 eV per atom

Record 5
# TaBeSi2 | Alexandria via LeMat-Bulk | PBE | optimized geometry
data_TaBeSi2
_chemical_formula_sum 'Ta4 Be4 Si8'
_space_group_name_H-M_alt 'F -4 3 m'
_space_group_IT_number 216
_space_group_name_Hall 'F -4 2 3'
_cell_length_a 6.049
_cell_length_b 6.049
_cell_length_c 6.049
_cell_angle_alpha 90.00
_cell_angle_beta 90.00
_cell_angle_gamma 90.00
loop_
_atom_site_label
_atom_site_type_symbol
_atom_site_fract_x
_atom_site_fract_y
_atom_site_fract_z
_atom_site_occupancy
Ta1 Ta 0.000 0.000 0.000 1
Be1 Be 0.250 0.250 0.750 1
Si1 Si 0.000 0.000 0.500 1
Si2 Si 0.250 0.250 0.250 1
# - Calculated density: 7.4 Mg/m³
# - Formation energy from raw total energies: 0.492 eV per atom

Record 6
# TaBeSi2 | Alexandria via LeMat-Bulk | PBE | optimized geometry
data_TaBeSi2
_chemical_formula_sum 'Ta2 Be2 Si4'
_space_group_name_H-M_alt 'I 4/m m m'
_space_group_IT_number 139
_space_group_name_Hall '-I 4 2'
_cell_length_a 3.598
_cell_length_b 3.598
_cell_length_c 8.074
_cell_angle_alpha 90.00
_cell_angle_beta 90.00
_cell_angle_gamma 90.00
loop_
_atom_site_label
_atom_site_type_symbol
_atom_site_fract_x
_atom_site_fract_y
_atom_site_fract_z
_atom_site_occupancy
Ta1 Ta 0.000 0.000 0.000 1
Be1 Be 0.000 0.000 0.500 1
Si1 Si 0.000 0.500 0.250 1
# - Calculated density: 7.8 Mg/m³
# - Formation energy from raw total energies: -0.126 eV per atom